The following is a DFT calculation (PBE-GGA) of a geometry-optimized BC structure.

Properties
M_tot: 0.0 μB per cell
E above lowest polymorph: 0.418 eV/f.u.
Calculated formation energy: 0.3597 eV/atom

abc: 3.785 4.672 5.344
angles: 70.71 88.66 68.62
Space group P1 (No. 1)
Unique sites:
B: 0.000 0.000 0.000 [1 per cell]
B: 0.003 0.377 0.987 [1 per cell]
B: 0.028 0.023 0.568 [1 per cell]
B: 0.355 0.353 0.652 [1 per cell]
B: 0.650 0.673 0.359 [1 per cell]
B: 0.670 0.090 0.211 [1 per cell]
C: 0.056 0.368 0.426 [1 per cell]
C: 0.300 0.387 0.191 [1 per cell]
C: 0.400 0.693 0.619 [1 per cell]
C: 0.400 0.694 0.099 [1 per cell]
C: 0.631 0.701 0.853 [1 per cell]
C: 0.714 0.013 0.772 [1 per cell]

***

The following is a DFT calculation (PBE-GGA) of a geometry-optimized B3C7 structure.

Properties
M_tot: 0.0 μB per cell
E above lowest polymorph: 1.038 eV/f.u.
Calculated formation energy: 0.3662 eV/atom

abc: 13.730 2.514 3.745
angles: 90.00 103.47 90.00
Space group Cm (No. 8)
Unique sites:
B: 0.000 0.000 0.000 [2 per cell]
B: 0.019 0.500 0.348 [2 per cell]
B: 0.125 0.000 0.942 [2 per cell]
C: 0.118 0.500 0.656 [2 per cell]
C: 0.218 0.000 0.281 [2 per cell]
C: 0.218 0.500 0.525 [2 per cell]
C: 0.310 0.500 0.861 [2 per cell]
C: 0.313 0.000 0.106 [2 per cell]
C: 0.404 0.000 0.443 [2 per cell]
C: 0.404 0.500 0.681 [2 per cell]

***

The following is a DFT calculation (PBE-GGA) of a geometry-optimized B7C5 structure.

Properties
M_tot: 0.0 μB per cell
E above lowest polymorph: 2.778 eV/f.u.
Calculated formation energy: 0.3959 eV/atom

abc: 12.483 2.630 4.881
angles: 90.00 96.45 90.00
Space group Cm (No. 8)
Unique sites:
B: 0.000 0.000 0.000 [2 per cell]
B: 0.013 0.500 0.493 [2 per cell]
B: 0.064 0.000 0.687 [2 per cell]
B: 0.143 0.500 0.368 [2 per cell]
B: 0.159 0.000 0.950 [2 per cell]
B: 0.204 0.000 0.596 [2 per cell]
B: 0.372 0.000 0.335 [2 per cell]
C: 0.012 0.500 0.185 [2 per cell]
C: 0.207 0.500 0.093 [2 per cell]
C: 0.326 0.500 0.144 [2 per cell]
C: 0.336 0.000 0.679 [2 per cell]
C: 0.372 0.500 0.848 [2 per cell]

***

The following is a DFT calculation (PBE-GGA) of a geometry-optimized B7C5 structure.

Properties
M_tot: 0.0 μB per cell
E above lowest polymorph: 2.579 eV/f.u.
Calculated formation energy: 0.3793 eV/atom

abc: 12.641 2.543 5.015
angles: 90.00 95.70 90.00
Space group Cm (No. 8)
Unique sites:
B: 0.000 0.000 0.000 [2 per cell]
B: 0.010 0.000 0.345 [2 per cell]
B: 0.136 0.000 0.147 [2 per cell]
B: 0.165 0.500 0.676 [2 per cell]
B: 0.205 0.500 0.338 [2 per cell]
B: 0.319 0.500 0.529 [2 per cell]
B: 0.354 0.500 0.171 [2 per cell]
C: 0.041 0.500 0.551 [2 per cell]
C: 0.194 0.000 0.880 [2 per cell]
C: 0.310 0.000 0.966 [2 per cell]
C: 0.363 0.000 0.714 [2 per cell]
C: 0.479 0.000 0.791 [2 per cell]

***

The following is a DFT calculation (PBE-GGA) of a geometry-optimized B3C2 structure.

Properties
M_tot: 0.0 μB per cell
E above lowest polymorph: 0.641 eV/f.u.
Calculated formation energy: 0.3392 eV/atom

abc: 2.685 13.597 4.142
angles: 90.00 90.00 90.00
Space group Imm2 (No. 44)
Unique sites:
B: 0.000 0.000 0.000 [2 per cell]
B: 0.000 0.076 0.327 [4 per cell]
B: 0.000 0.226 0.866 [4 per cell]
B: 0.000 0.500 0.203 [2 per cell]
C: 0.000 0.297 0.180 [4 per cell]
C: 0.000 0.393 0.984 [4 per cell]

***

The following is a DFT calculation (PBE-GGA) of a geometry-optimized BC structure.

Properties
M_tot: 0.0 μB per cell
E above lowest polymorph: 0.427 eV/f.u.
Calculated formation energy: 0.3643 eV/atom

abc: 4.753 2.584 6.626
angles: 90.00 96.35 90.00
Space group Pm (No. 6)
Unique sites:
B: 0.000 0.000 0.000 [1 per cell]
B: 0.065 0.000 0.747 [1 per cell]
B: 0.175 0.500 0.595 [1 per cell]
B: 0.267 0.000 0.262 [1 per cell]
B: 0.349 0.000 0.994 [1 per cell]
B: 0.593 0.000 0.577 [1 per cell]
C: 0.105 0.500 0.359 [1 per cell]
C: 0.519 0.500 0.694 [1 per cell]
C: 0.530 0.500 0.924 [1 per cell]
C: 0.629 0.000 0.341 [1 per cell]
C: 0.788 0.500 0.277 [1 per cell]
C: 0.809 0.500 0.045 [1 per cell]

***

The following is a DFT calculation (PBE-GGA) of a geometry-optimized B3C2 structure.

Properties
M_tot: 1.3 μB per cell
E above lowest polymorph: 1.913 eV/f.u.
Calculated formation energy: 0.5935 eV/atom

abc: 2.6563 2.6563 35.6482
angles: 90.00 90.00 120.00
Space group R3m (No. 160, hexagonal axes)
Unique sites:
B: 0.0000 0.0000 0.0000 [3 per cell]
B: 0.0000 0.0000 0.0479 [3 per cell]
B: 0.0000 0.0000 0.4092 [3 per cell]
B: 0.0000 0.0000 0.5845 [3 per cell]
B: 0.0000 0.0000 0.6507 [3 per cell]
B: 0.0000 0.0000 0.8044 [3 per cell]
C: 0.0000 0.0000 0.1971 [3 per cell]
C: 0.0000 0.0000 0.2446 [3 per cell]
C: 0.0000 0.0000 0.4525 [3 per cell]
C: 0.0000 0.0000 0.8502 [3 per cell]

***

The following is a DFT calculation (PBE-GGA) of a geometry-optimized B3C structure.

Properties
M_tot: 0.0 μB per cell
E above lowest polymorph: 0.432 eV/f.u.
Calculated formation energy: 0.3485 eV/atom

abc: 4.279 9.532 2.663
angles: 90.00 90.00 90.00
Space group Cmcm (No. 63)
Unique sites:
B: 0.000 0.226 0.250 [4 per cell]
B: 0.220 0.066 0.250 [8 per cell]
C: 0.000 0.316 0.750 [4 per cell]

***

The following is a DFT calculation (PBE-GGA) of a geometry-optimized B3C7 structure.

Properties
M_tot: 0.0 μB per cell
E above lowest polymorph: 0.409 eV/f.u.
Calculated formation energy: 0.3033 eV/atom

abc: 2.5548 2.5548 33.1763
angles: 90.00 90.00 120.00
Space group R3m (No. 160, hexagonal axes)
Unique sites:
B: 0.0000 0.0000 0.0000 [3 per cell]
B: 0.0000 0.0000 0.1908 [3 per cell]
B: 0.0000 0.0000 0.5546 [3 per cell]
C: 0.0000 0.0000 0.1429 [3 per cell]
C: 0.0000 0.0000 0.3524 [3 per cell]
C: 0.0000 0.0000 0.3982 [3 per cell]
C: 0.0000 0.0000 0.6025 [3 per cell]
C: 0.0000 0.0000 0.7473 [3 per cell]
C: 0.0000 0.0000 0.7941 [3 per cell]
C: 0.0000 0.0000 0.9503 [3 per cell]

***

The following is a DFT calculation (PBE-GGA) of a geometry-optimized B3C structure.

Properties
M_tot: 0.0 μB per cell
E above lowest polymorph: 0.322 eV/f.u.
Calculated formation energy: 0.3211 eV/atom

abc: 7.947 2.813 8.125
angles: 90.00 116.32 90.00
Space group Cm (No. 8)
Unique sites:
B: 0.000 0.000 0.000 [2 per cell]
B: 0.010 0.000 0.585 [2 per cell]
B: 0.027 0.000 0.230 [2 per cell]
B: 0.272 0.500 0.572 [2 per cell]
B: 0.286 0.500 0.987 [2 per cell]
B: 0.341 0.000 0.886 [2 per cell]
B: 0.356 0.500 0.342 [2 per cell]
B: 0.455 0.000 0.696 [2 per cell]
B: 0.470 0.000 0.357 [2 per cell]
C: 0.069 0.500 0.927 [2 per cell]
C: 0.153 0.500 0.333 [2 per cell]
C: 0.233 0.000 0.666 [2 per cell]

***

The following is a DFT calculation (PBE-GGA) of a geometry-optimized B3C2 structure.

Properties
M_tot: 0.8 μB per cell
E above lowest polymorph: 0.445 eV/f.u.
Calculated formation energy: 0.3000 eV/atom

abc: 2.6694 2.6694 38.7131
angles: 90.00 90.00 120.00
Space group R-3m (No. 166, hexagonal axes)
Unique sites:
B: 0.0000 0.0000 0.0488 [6 per cell]
B: 0.0000 0.0000 0.1804 [6 per cell]
B: 0.0000 0.0000 0.4301 [6 per cell]
C: 0.0000 0.0000 0.2197 [6 per cell]
C: 0.0000 0.0000 0.3864 [6 per cell]

***

The following is a DFT calculation (PBE-GGA) of a geometry-optimized B3C5 structure.

Properties
M_tot: 0.0 μB per cell
E above lowest polymorph: 0.470 eV/f.u.
Calculated formation energy: 0.3331 eV/atom

abc: 4.915 5.177 8.109
angles: 90.00 90.00 90.00
Space group Fmm2 (No. 42)
Unique sites:
B: 0.000 0.000 0.000 [4 per cell]
B: 0.239 0.000 0.344 [8 per cell]
C: 0.000 0.000 0.495 [4 per cell]
C: 0.000 0.242 0.610 [8 per cell]
C: 0.250 0.250 0.218 [8 per cell]